An optimized crystal structure of ScTi2TcSn. Source: Alexandria via LeMat-Bulk, functional GGA-PBE.

abc: 4.4830 4.4830 5.1901
angles: 90.00 90.00 90.00
Last column: nearest neighbours and their distance in Å.
Fractional coordinates of all 5 atoms:
Sc: 0.0000 0.0000 0.0000  4 Ti 2.24
Ti: 0.0000 0.5000 0.0000  2 Sc 2.24
Ti: 0.5000 0.0000 0.0000  2 Sc 2.24
Tc: 0.5000 0.5000 0.5000  4 Sn 3.17, 8 Ti 3.43
Sn: 0.0000 0.0000 0.5000  2 Sc 2.60

Computed properties:
The calculation puts the density of states at the Fermi level at 4.748 states/eV/f.u. The value obtained for the calculated volume is 104 Å³/f.u. The space group is No. 123. The calculation puts the final energy at -5.96 eV per atom. For the polymorph energy (0 for the lowest one), the calculation gives 274.2 meV per atom.